Record 1
La2Pm7Mg2: relaxed, PBE-GGA.

Structure (POSCAR):
```
La2Pm7Mg2
1.0
5.690 -5.799 0.000
5.690 5.799 0.000
-2.858 0.000 5.622
La Pm Mg
2 7 2
Direct
0.193 0.807 0.000 La
0.807 0.193 0.000 La
0.000 0.000 0.500 Pm
0.087 0.576 0.318 Pm
0.392 0.392 0.669 Pm
0.424 0.913 0.682 Pm
0.576 0.087 0.318 Pm
0.608 0.608 0.331 Pm
0.913 0.424 0.682 Pm
0.257 0.257 0.043 Mg
0.743 0.743 0.957 Mg
```

The total magnetic moment is 0.000 μB per formula unit. Its space group is C2/m, No. 12. For the energy above the most stable polymorph in this dataset, the calculation gives 0.0476 eV/atom. The calculation puts the total energy at -4.101 eV/atom. For the density of states at the Fermi level, the calculation gives 14.50 states/eV/cell. Its formation energy is 0.11 eV per atom.

Record 2
LaPmMg2: relaxed, PBE-GGA.

Structure (POSCAR):
```
LaPmMg2
1.0
1.763 1.018 11.324
-1.763 1.018 11.324
0.000 -2.036 11.324
La Pm Mg
1 1 2
Direct
0.000 0.000 0.000 La
0.832 0.832 0.832 Pm
0.417 0.417 0.417 Mg
0.581 0.581 0.581 Mg
```

The total magnetic moment is 0.000 μB per formula unit. Its space group is R3m, No. 160. For the energy above the most stable polymorph in this dataset, the calculation gives 0.1658 eV/atom. The calculation puts the total energy at -3.167 eV/atom. For the density of states at the Fermi level, the calculation gives 5.21 states/eV/cell. Its formation energy is 0.05 eV per atom.

Record 3
La2PmMg: relaxed, PBE-GGA.

Structure (POSCAR):
```
La2PmMg
1.0
1.828 1.056 11.700
-1.828 1.056 11.700
0.000 -2.111 11.700
La Pm Mg
2 1 1
Direct
0.000 0.000 0.000 La
0.173 0.173 0.173 La
0.419 0.419 0.419 Pm
0.587 0.587 0.587 Mg
```

The total magnetic moment is 0.000 μB per formula unit. Its space group is R3m, No. 160. For the energy above the most stable polymorph in this dataset, the calculation gives 0.0794 eV/atom. The calculation puts the total energy at -4.015 eV/atom. For the density of states at the Fermi level, the calculation gives 5.38 states/eV/cell. Its formation energy is 0.03 eV per atom.

Record 4
La5PmMg: relaxed, PBE-GGA.

Structure (POSCAR):
```
La5PmMg
1.0
8.559 -3.313 0.000
8.559 3.313 0.000
-6.810 0.000 8.664
La Pm Mg
10 2 2
Direct
0.012 0.988 0.750 La
0.085 0.559 0.907 La
0.158 0.664 0.402 La
0.336 0.842 0.098 La
0.441 0.915 0.593 La
0.559 0.085 0.407 La
0.664 0.158 0.902 La
0.842 0.336 0.598 La
0.915 0.441 0.093 La
0.988 0.012 0.250 La
0.000 0.500 0.500 Pm
0.500 0.000 0.000 Pm
0.493 0.507 0.750 Mg
0.507 0.493 0.250 Mg
```

The total magnetic moment is 0.000 μB per formula unit. Its space group is C2/c, No. 15. For the energy above the most stable polymorph in this dataset, the calculation gives 0.0125 eV/atom. The calculation puts the total energy at -4.336 eV/atom. For the density of states at the Fermi level, the calculation gives 20.58 states/eV/cell. Its formation energy is 0.09 eV per atom.

Record 5
La3Pm12Mg: relaxed, PBE-GGA.

Structure (POSCAR):
```
La3Pm12Mg
1.0
5.151 0.000 0.000
0.000 5.151 0.000
0.000 0.000 20.643
La Pm Mg
3 12 1
Direct
0.000 0.000 0.000 La
0.000 0.000 0.253 La
0.000 0.000 0.747 La
0.000 0.500 0.126 Pm
0.000 0.500 0.379 Pm
0.000 0.500 0.621 Pm
0.000 0.500 0.874 Pm
0.500 0.000 0.126 Pm
0.500 0.000 0.379 Pm
0.500 0.000 0.621 Pm
0.500 0.000 0.874 Pm
0.500 0.500 0.000 Pm
0.500 0.500 0.256 Pm
0.500 0.500 0.500 Pm
0.500 0.500 0.744 Pm
0.000 0.000 0.500 Mg
```

The total magnetic moment is 0.000 μB per formula unit. Its space group is P4/mmm, No. 123. The calculation puts the total energy at -4.568 eV/atom. For the density of states at the Fermi level, the calculation gives 23.86 states/eV/cell. Its formation energy is 0.02 eV per atom.

Record 6
LaPm14Mg: relaxed, PBE-GGA.

Structure (POSCAR):
```
LaPm14Mg
1.0
7.244 0.000 0.000
0.000 7.244 0.000
0.000 0.000 10.303
La Pm Mg
1 14 1
Direct
0.000 0.000 0.000 La
0.000 0.000 0.500 Pm
0.000 0.500 0.000 Pm
0.000 0.500 0.500 Pm
0.251 0.251 0.248 Pm
0.251 0.251 0.752 Pm
0.251 0.749 0.248 Pm
0.251 0.749 0.752 Pm
0.500 0.000 0.000 Pm
0.500 0.000 0.500 Pm
0.500 0.500 0.500 Pm
0.749 0.251 0.248 Pm
0.749 0.251 0.752 Pm
0.749 0.749 0.248 Pm
0.749 0.749 0.752 Pm
0.500 0.500 0.000 Mg
```

The total magnetic moment is 0.000 μB per formula unit. Its space group is P4/mmm, No. 123. The calculation puts the total energy at -4.556 eV/atom. For the density of states at the Fermi level, the calculation gives 19.15 states/eV/cell. Its formation energy is 0.01 eV per atom.

Record 7
La2PmMg: relaxed, PBE-GGA.

Structure (POSCAR):
```
La2PmMg
1.0
3.816 0.000 0.000
0.000 3.816 0.000
0.000 0.000 9.243
La Pm Mg
2 1 1
Direct
0.000 0.000 0.229 La
0.000 0.000 0.771 La
0.500 0.500 0.500 Pm
0.500 0.500 0.000 Mg
```

The total magnetic moment is 0.000 μB per formula unit. Its space group is P4/mmm, No. 123. For the energy above the most stable polymorph in this dataset, the calculation gives 0.0071 eV/atom. The calculation puts the total energy at -4.088 eV/atom. For the density of states at the Fermi level, the calculation gives 4.73 states/eV/cell. Its formation energy is -0.04 eV per atom.

Record 8
LaPm3Mg4: relaxed, PBE-GGA.

Structure (POSCAR):
```
LaPm3Mg4
1.0
5.490 0.000 0.000
0.000 5.490 0.000
0.000 0.000 7.806
La Pm Mg
1 3 4
Direct
0.000 0.000 0.000 La
0.000 0.000 0.500 Pm
0.500 0.500 0.000 Pm
0.500 0.500 0.500 Pm
0.000 0.500 0.255 Mg
0.000 0.500 0.745 Mg
0.500 0.000 0.255 Mg
0.500 0.000 0.745 Mg
```

The total magnetic moment is 0.000 μB per formula unit. Its space group is P4/mmm, No. 123. The calculation puts the total energy at -3.305 eV/atom. For the density of states at the Fermi level, the calculation gives 8.60 states/eV/cell. Its formation energy is -0.11 eV per atom.

Which of these has the highest formation energy? La2Pm7Mg2

The lowest formation energy belongs to which entry? LaPm3Mg4

formation energy of number 6 (LaPm14Mg)? 0.01 eV per atom